! PmSm2Cu (GGA-PBE, optimized geometry); values from VASP
! **Excess energy over the best structure of this formula in the dataset**: 12.00 kJ/mol of atoms
&SYSTEM
  ibrav = 0, nat = 4, ntyp = 3
/
ATOMIC_SPECIES
Pm 145.00 Pm.upf
Sm 150.36 Sm.upf
Cu 63.55 Cu.upf
CELL_PARAMETERS angstrom
1.851 1.068 9.999
-1.851 1.068 9.999
0.000 -2.137 9.999
ATOMIC_POSITIONS crystal
Pm 0.000 0.000 0.000
Sm 0.567 0.567 0.567
Sm 0.766 0.766 0.766
Cu 0.167 0.167 0.167